[1]
Compound: CoP2Os
Source: the Alexandria database
Functional: GGA-PBE
Structure: relaxed

## Properties
* offset from the most stable computed form: 2.27 eV per formula unit

Cell: 4.861 4.861 4.861 Å, 138.34 138.34 60.38°
Sites, in units of the cell vectors:
Co1 0.500 0.500 0.000
Os1 0.750 0.250 0.500
P1 0.000 0.000 0.000
P2 0.250 0.750 0.500

***

[2]
Compound: CoP2Os
Source: the Alexandria database
Functional: GGA-PBE
Structure: relaxed

## Properties
* offset from the most stable computed form: 0.00 eV per formula unit

Cell: 4.277 3.496 4.224 Å, 65.47 90.00 90.00°
Sites, in units of the cell vectors:
Co1 0.000 0.404 0.567
Os1 0.500 0.847 0.681
P1 0.000 0.717 0.940
P2 0.500 0.531 0.312

***

[3]
Compound: CoP2Os
Source: the Alexandria database
Functional: GGA-PBE
Structure: relaxed

## Properties
* offset from the most stable computed form: 2.62 eV per formula unit

Cell: 2.901 4.791 3.744 Å, 90.00 90.00 90.00°
Sites, in units of the cell vectors:
Co1 0.500 0.000 0.500
Os1 0.000 0.500 0.500
P1 0.000 0.000 0.000
P2 0.500 0.500 0.000

***

[4]
Compound: Co2POs
Source: the Alexandria database
Functional: GGA-PBE
Structure: relaxed

Cell: 3.513 2.733 5.137 Å, 74.58 90.00 90.00°
Sites, in units of the cell vectors:
Co1 0.000 0.958 0.959
Co2 0.500 0.316 0.244
Os1 0.000 0.694 0.488
P1 0.500 0.532 0.809

***

[5]
Compound: Co2P2Os
Source: the Alexandria database
Functional: GGA-PBE
Structure: relaxed

Cell: 6.323 6.323 2.895 Å, 90.00 90.00 90.00°
Sites, in units of the cell vectors:
Co1 0.139 0.639 0.500
Co2 0.639 0.861 0.500
Co3 0.861 0.361 0.500
Co4 0.361 0.139 0.500
Os1 0.000 0.000 0.000
Os2 0.500 0.500 0.000
P1 0.350 0.850 0.000
P2 0.850 0.650 0.000
P3 0.650 0.150 0.000
P4 0.150 0.350 0.000

***

[6]
Compound: CoP2Os
Source: the Alexandria database
Functional: GGA-PBE
Structure: relaxed

## Properties
* offset from the most stable computed form: 3.52 eV per formula unit

Cell: 4.174 4.174 4.174 Å, 60.00 60.00 60.00°
Sites, in units of the cell vectors:
Co1 0.500 0.500 0.500
Os1 0.250 0.250 0.250
P1 0.000 0.000 0.000
P2 0.750 0.750 0.750

***

[7]
Compound: CoP4Os
Source: the Alexandria database
Functional: GGA-PBE
Structure: relaxed

Cell: 4.818 4.818 4.818 Å, 60.00 60.00 60.00°
Sites, in units of the cell vectors:
Co1 0.750 0.750 0.750
P1 0.874 0.375 0.375
P2 0.375 0.375 0.874
P3 0.375 0.874 0.375
P4 0.375 0.375 0.375
Os1 0.000 0.000 0.000

***

[8]
Compound: CoP2Os
Source: the Alexandria database
Functional: GGA-PBE
Structure: relaxed

## Properties
* offset from the most stable computed form: 2.52 eV per formula unit

Cell: 2.888 2.888 7.454 Å, 90.00 90.00 121.89°
Sites, in units of the cell vectors:
Co1 0.500 0.500 0.250
Os1 0.500 0.500 0.750
P1 0.000 0.000 0.013
P2 0.000 0.000 0.487

***

Results for DOS(E_F): 0.89; 0.50; 0.94; 1.14; 0.73; 0.67; 0.74; 1.01 (in states/eV per atom, following the order of the records).
Results for magnetization: 0.1388; 0.0000; 0.0002; 0.2049; 0.0000; 0.0000; 0.0004; 0.0002 (in μB/atom, following the order of the records).
Results for DFT formation energy: 0.2773; -0.2904; 0.3658; -0.0854; -0.1648; 0.5907; 0.9857; 0.3389 (in eV per atom, following the order of the records).